Entry 1:
Here is a geometry-optimized CoNi6Sn structure from OQMD via LeMat-Bulk. Energies are from PBE.

Geometry as POSCAR:
```
CoNi6Sn
1.0
5.1131 0.0000 0.0000
-2.5565 4.4281 0.0000
0.0000 0.0000 4.1581
Ni Sn Co
6 1 1
Cartesian
2.5566 0.0727 0.0000
3.8598 0.7236 2.0791
2.5565 2.9808 2.0791
3.7718 2.1777 0.0000
1.2533 0.7236 2.0791
1.3413 2.1777 0.0000
0.0000 2.9521 2.0791
0.0000 0.0000 0.0000
```

Computed properties:
- total magnetization (μB/f.u.) = 3.91
- energy (eV per formula unit) = -44.78
- volume (Å³/atom) = 11.77

---

Entry 2:
Here is a geometry-optimized CoNiSn structure from OQMD via LeMat-Bulk. Energies are from PBE.

Geometry as POSCAR:
```
CoNiSn
1.0
4.2749 0.0000 0.0000
-2.1375 3.7022 0.0000
0.0000 0.0000 5.2458
Ni Sn Co
2 2 2
Cartesian
0.0000 0.0000 0.0000
0.0000 0.0000 2.6229
2.1375 1.2341 3.9344
0.0000 2.4681 1.3115
0.0000 2.4681 3.9344
2.1375 1.2341 1.3115
```

Computed properties:
- total magnetization (μB/f.u.) = 0.01
- energy (eV per formula unit) = -16.68
- volume (Å³/atom) = 13.84

---

Entry 3:
Here is a geometry-optimized CoNiSn structure from OQMD via LeMat-Bulk. Energies are from PBE.

Geometry as POSCAR:
```
CoNiSn
1.0
-0.1167 -6.1048 -1.7856
2.2719 4.4297 -3.9607
3.4822 -0.4904 1.4490
Sn Ni Co
3 3 3
Cartesian
1.7411 -0.2452 0.7245
0.6795 -2.5933 -2.5106
1.4757 0.9182 -3.2357
1.6732 -3.7960 -0.3141
2.6427 -0.9460 -1.6795
3.0625 2.3313 -1.5792
0.5579 1.0877 -0.9725
-0.0287 -1.4990 -0.4384
1.6260 -1.2638 -4.3353
```

Computed properties:
- total magnetization (μB/f.u.) = 0.12
- energy (eV per formula unit) = -16.12
- volume (Å³/atom) = 14.81

---

Entry 4:
Here is a geometry-optimized Co2NiSn structure from OQMD via LeMat-Bulk. Energies are from PBE.

Geometry as POSCAR:
```
Co2NiSn
1.0
-4.0966 -1.3863 -0.1991
1.5431 -4.7912 1.6108
-1.3958 3.6074 3.6013
Co Ni Sn
4 2 2
Cartesian
-1.9464 -4.6493 1.8135
-1.9992 2.0483 3.3361
-1.2534 0.1202 1.4175
-2.7704 -2.0913 0.9581
-0.5160 -2.1749 2.2236
-3.4355 -0.3781 2.7142
-2.6231 -2.8940 3.5148
-1.2535 -0.2611 4.0741
```

Computed properties:
- total magnetization (μB/f.u.) = 2.56
- energy (eV per formula unit) = -23.40
- volume (Å³/atom) = 13.19

---

Entry 5:
Here is a geometry-optimized CoNiSn structure from OQMD via LeMat-Bulk. Energies are from PBE.

Geometry as POSCAR:
```
CoNiSn
1.0
-3.9174 5.4270 -2.0986
-0.6361 -6.2211 -3.1775
-2.1049 -0.7720 1.9328
Ni Sn Co
3 3 3
Cartesian
-2.8236 1.5443 -2.4583
-1.7299 -2.3384 -2.8179
-1.0525 -0.3860 0.9664
-1.1648 1.6137 -0.6240
-3.1995 -0.5579 -3.7073
-0.1891 -1.8498 -0.9448
-1.4511 -4.2849 -1.0251
-2.7521 -0.6824 -1.0031
-3.5076 3.0153 -0.3489
```

Computed properties:
- total magnetization (μB/f.u.) = 1.05
- energy (eV per formula unit) = -16.34
- volume (Å³/atom) = 14.01

---

Entry 6:
Here is a geometry-optimized CoNiSn structure from OQMD via LeMat-Bulk. Energies are from PBE.

Geometry as POSCAR:
```
CoNiSn
1.0
-5.9819 1.0855 -1.5302
3.1289 -4.7005 -2.7237
-1.1588 -2.4069 2.8225
Co Ni Sn
3 3 3
Cartesian
-1.8049 -2.7563 -0.4161
-3.9917 -0.5842 0.5384
1.2055 -3.8848 -0.1425
0.7567 -1.1368 -0.6587
-2.1630 -2.7407 -3.2251
-1.4467 0.2625 -0.3701
-0.5794 -1.2034 1.4113
0.0920 -2.7718 -2.3259
-2.9450 -0.8431 -1.9280
```

Computed properties:
- total magnetization (μB/f.u.) = 0.80
- energy (eV per formula unit) = -16.21
- volume (Å³/atom) = 14.70

---

Entry 7:
Here is a geometry-optimized Co2NiSn2 structure from OQMD via LeMat-Bulk. Energies are from PBE.

Geometry as POSCAR:
```
Co2NiSn2
1.0
5.1956 0.0000 0.0000
0.0000 4.0683 0.0000
0.0000 0.0000 7.0992
Ni Sn Co
2 4 4
Cartesian
0.0000 0.0000 0.0000
2.5978 0.0000 0.0000
3.8967 0.0000 2.6000
1.2989 0.0000 4.4992
3.8967 2.0342 5.7495
1.2989 2.0342 1.3497
3.8967 2.0342 1.1482
1.2989 2.0342 5.9510
2.5978 2.0342 3.5496
0.0000 2.0342 3.5496
```

Computed properties:
- total magnetization (μB/f.u.) = 0.53
- energy (eV per formula unit) = -28.35
- volume (Å³/atom) = 15.01

---

Entry 8:
Here is a geometry-optimized Co2NiSn structure from OQMD via LeMat-Bulk. Energies are from PBE.

Geometry as POSCAR:
```
Co2NiSn
1.0
2.6520 -4.6148 0.0000
2.6520 4.6148 0.0000
0.0000 0.0000 4.2294
Ni Co Sn
2 4 2
Cartesian
2.6520 -1.4922 3.1720
2.6520 1.4922 1.0573
1.3936 -0.6807 1.0573
1.3936 0.6807 3.1720
3.9104 0.6807 3.1720
3.9104 -0.6807 1.0573
2.6520 3.0476 3.1720
2.6520 -3.0476 1.0573
```

Computed properties:
- total magnetization (μB/f.u.) = 2.19
- energy (eV per formula unit) = -23.78
- volume (Å³/atom) = 12.94

---

Entry 9:
Here is a geometry-optimized Co5Ni2Sn structure from OQMD via LeMat-Bulk. Energies are from PBE.

Geometry as POSCAR:
```
Co5Ni2Sn
1.0
4.1258 0.0000 0.0000
0.0000 2.5611 4.4921
0.0000 -2.5611 4.4921
Sn Ni Co
1 2 5
Cartesian
0.0000 0.0000 1.5459
0.0000 0.0000 6.0170
2.0629 0.0000 3.0515
2.0629 1.2192 5.1400
2.0629 0.0000 7.4920
2.0629 -1.2192 5.1400
0.0000 -1.3082 3.7753
0.0000 1.3082 3.7753
```

Computed properties:
- total magnetization (μB/f.u.) = 8.29
- energy (eV per formula unit) = -50.29
- volume (Å³/atom) = 11.87

---

Entry 10:
Here is a geometry-optimized CoNiSn2 structure from OQMD via LeMat-Bulk. Energies are from PBE.

Geometry as POSCAR:
```
CoNiSn2
1.0
-1.0614 -3.0413 -3.7085
5.7246 -1.4805 -0.4243
-4.2027 -2.5621 3.3040
Sn Ni Co
4 2 2
Cartesian
-3.1517 -2.9830 1.7217
0.6108 -3.3875 -2.2766
-0.7610 -2.0741 0.2921
3.4705 -3.7243 -2.8188
1.9143 -2.4555 -0.1607
-1.5778 -4.2988 -0.9028
-0.0258 -4.0505 1.7025
1.3630 -5.3620 -0.8726
```

Computed properties:
- total magnetization (μB/f.u.) = 0.50
- energy above the lowest structure with this stoichiometry (kJ per mole of atoms) = 10.0
- volume (Å³/atom) = 16.99

---

Entry 11:
Here is a geometry-optimized CoNiSn2 structure from OQMD via LeMat-Bulk. Energies are from PBE.

Geometry as POSCAR:
```
CoNiSn2
1.0
1.9377 -2.8579 -3.0272
0.5158 -4.4425 1.0414
-2.5544 -3.1684 -2.1267
Sn Ni Co
2 1 1
Cartesian
0.0000 0.0000 0.0000
-0.0756 -7.8516 -3.0843
-0.0252 -2.6172 -1.0281
-0.0504 -5.2344 -2.0562
```

Computed properties:
- total magnetization (μB/f.u.) = 0.26
- energy above the lowest structure with this stoichiometry (kJ per mole of atoms) = 39.4
- volume (Å³/atom) = 17.12

---

Entry 12:
Here is a geometry-optimized CoNi2Sn5 structure from OQMD via LeMat-Bulk. Energies are from PBE.

Geometry as POSCAR:
```
CoNi2Sn5
1.0
3.2685 0.0000 0.0000
0.0000 4.2561 5.7336
0.0000 -4.2561 5.7336
Ni Sn Co
2 5 1
Cartesian
0.0000 0.0000 3.1322
1.6342 0.0000 8.5223
1.6342 1.9617 4.2343
1.6342 0.0000 1.0410
0.0000 1.5624 7.1605
0.0000 -1.5624 7.1605
1.6342 -1.9617 4.2343
0.0000 0.0000 10.3833
```

Computed properties:
- total magnetization (μB/f.u.) = 0.94
- energy (eV per formula unit) = -37.44
- volume (Å³/atom) = 19.94

---

Entry 13:
Here is a geometry-optimized CoNiSn2 structure from OQMD via LeMat-Bulk. Energies are from PBE.

Geometry as POSCAR:
```
CoNiSn2
1.0
3.1038 -4.5101 0.0000
3.1038 4.5101 0.0000
0.0000 0.0000 4.4896
Co Sn Ni
2 4 2
Cartesian
3.1038 1.1588 1.1224
3.1038 -1.1588 3.3672
1.5508 1.0986 3.3672
4.6568 -1.0986 1.1224
1.5508 -1.0986 1.1224
4.6568 1.0986 3.3672
3.1038 -3.3010 1.1224
3.1038 3.3010 3.3672
```

Computed properties:
- total magnetization (μB/f.u.) = 0.03
- energy above the lowest structure with this stoichiometry (kJ per mole of atoms) = 0.0
- volume (Å³/atom) = 15.71

---

Entry 14:
Here is a geometry-optimized CoNiSn2 structure from OQMD via LeMat-Bulk. Energies are from PBE.

Geometry as POSCAR:
```
CoNiSn2
1.0
-2.2803 1.3197 -2.8680
-2.6999 4.3460 4.1463
2.1603 6.1231 1.0998
Co Sn Ni
2 4 2
Cartesian
-1.5151 3.7736 2.9410
1.0773 4.7215 1.3160
-2.6634 6.0352 2.2505
-0.2171 6.9297 0.7170
-1.5789 9.1728 2.8319
-0.1258 2.4412 1.2233
-1.3432 4.5992 0.5400
-0.3527 6.8425 3.4288
```

Computed properties:
- total magnetization (μB/f.u.) = 0.11
- energy above the lowest structure with this stoichiometry (kJ per mole of atoms) = 6.7
- volume (Å³/atom) = 17.13

---

Entry 15:
Here is a geometry-optimized Co2NiSn structure from OQMD via LeMat-Bulk. Energies are from PBE.

Geometry as POSCAR:
```
Co2NiSn
1.0
4.1935 0.0000 0.0000
0.0000 2.8078 4.4736
0.0000 -2.8078 4.4736
Sn Co Ni
2 4 2
Cartesian
0.0000 -1.4053 5.2756
0.0000 1.4053 5.2756
2.0968 -1.4471 3.5715
2.0968 1.4471 3.5715
0.0000 0.0000 7.5225
2.0968 0.0000 1.5540
2.0968 0.0000 5.9721
0.0000 0.0000 3.0457
```

Computed properties:
- total magnetization (μB/f.u.) = 2.88
- energy (eV per formula unit) = -23.28
- volume (Å³/atom) = 13.17

---

Entry 16:
Here is a geometry-optimized CoNiSnTe3 structure from OQMD via LeMat-Bulk. Energies are from PBE.

Geometry as POSCAR:
```
CoNiSnTe3
1.0
6.9825 -1.8683 0.0000
6.9825 1.8683 0.0000
0.0000 0.0000 10.5476
Te Co Sn Ni
6 2 2 2
Cartesian
13.7731 0.0000 2.6369
5.2547 0.0000 0.0790
8.7103 0.0000 10.4687
0.1920 0.0000 7.9107
8.7103 0.0000 5.3528
5.2547 0.0000 5.1948
0.0000 0.0000 0.0000
0.0000 0.0000 5.2738
10.1770 0.0000 2.6369
3.7880 0.0000 7.9107
8.9710 0.0000 7.9107
4.9941 0.0000 2.6369
```

Computed properties:
- total magnetization (μB/f.u.) = 0.00
- energy above the lowest structure with this stoichiometry (kJ per mole of atoms) = 0.0
- volume (Å³/atom) = 22.93

---

Entry 17:
Here is a geometry-optimized CoNiSnTe3 structure from OQMD via LeMat-Bulk. Energies are from PBE.

Geometry as POSCAR:
```
CoNiSnTe3
1.0
-1.4024 0.1239 -6.8629
-0.3594 -3.3873 -6.1220
-10.2632 -2.6161 2.0500
Te Ni Co Sn
6 2 2 2
Cartesian
-11.1882 -4.6216 -6.1518
-6.4224 -3.4068 -7.1037
-5.6027 -2.4727 -3.8311
-4.3116 -3.8878 -12.3544
-7.7134 -1.9917 1.4196
-0.8368 -1.2579 -4.7831
-5.1316 -1.3080 1.0250
0.0000 0.0000 0.0000
-8.8228 -4.0467 -6.7570
-3.2022 -1.8328 -4.1778
-3.8462 -3.0258 -8.9246
-8.1788 -2.8537 -2.0103
```

Computed properties:
- total magnetization (μB/f.u.) = 0.00
- energy above the lowest structure with this stoichiometry (kJ per mole of atoms) = 0.7
- volume (Å³/atom) = 22.68

---

Entry 18:
Here is a geometry-optimized Tm3CoNi2Sn3 structure from OQMD via LeMat-Bulk. Energies are from PBE.

Geometry as POSCAR:
```
Tm3CoNi2Sn3
1.0
-4.6094 -5.4169 1.7414
6.2364 0.8462 3.7435
-1.7535 2.2665 2.4089
Sn Co Ni Tm
3 1 2 3
Cartesian
-4.2912 -2.8794 2.4944
3.7429 1.7601 3.9774
-0.4550 -0.0517 2.6264
0.0000 0.0000 0.0000
1.7444 -0.1082 4.2806
-1.8709 -2.1960 3.6132
0.9682 -2.7199 3.2639
-1.8665 -2.1935 0.7051
2.5253 0.3427 1.5158
```

Computed properties:
- total magnetization (μB/f.u.) = 0.01
- energy (eV per formula unit) = -49.33
- volume (Å³/atom) = 19.32

---

Entry 19:
Here is a geometry-optimized Tm2CoNiSn structure from OQMD via LeMat-Bulk. Energies are from PBE.

Geometry as POSCAR:
```
Tm2CoNiSn
1.0
-1.9390 1.8728 2.5646
6.0894 2.5372 2.7513
5.0384 5.0686 0.1080
Co Tm Ni Sn
1 2 1 1
Cartesian
8.9242 6.0996 2.2931
3.0613 3.6914 2.3180
6.1495 5.8022 3.1115
2.1974 1.5019 0.5646
11.1122 7.5951 2.8553
```

Computed properties:
- total magnetization (μB/f.u.) = 0.00
- energy (eV per formula unit) = -28.27
- volume (Å³/atom) = 19.52

---

Entry 20:
Here is a geometry-optimized CoNiSnW structure from OQMD via LeMat-Bulk. Energies are from PBE.

Geometry as POSCAR:
```
CoNiSnW
1.0
-2.2089 -2.4376 -2.8396
-4.2972 0.4995 -0.4113
-1.6434 1.8042 -3.5957
Ni W Sn Co
1 1 1 1
Cartesian
-4.0747 -0.0669 -3.4233
-2.0374 -0.0335 -1.7117
0.0000 0.0000 0.0000
-6.1121 -0.1004 -5.1350
```

Computed properties:
- total magnetization (μB/f.u.) = 0.38
- energy above the lowest structure with this stoichiometry (kJ per mole of atoms) = 21.2
- volume (Å³/atom) = 14.51